[1]
! PBE-GGA K2PtCl6, relaxed; values from VASP
&SYSTEM
  ibrav = 0, nat = 18, ntyp = 3
/
ATOMIC_SPECIES
Cl 35.45 Cl.upf
K 39.10 K.upf
Pt 195.08 Pt.upf
ATOMIC_POSITIONS crystal
Cl 0.7212 0.1982 0.0000
Cl 0.1982 0.2788 0.0000
Cl 0.8018 0.7212 0.0000
Cl 0.2788 0.8018 0.0000
Cl 0.0000 0.0000 0.2290
Cl 0.5000 0.5000 0.2710
Cl 0.6982 0.2212 0.5000
Cl 0.2212 0.3018 0.5000
Cl 0.7788 0.6982 0.5000
Cl 0.3018 0.7788 0.5000
Cl 0.5000 0.5000 0.7290
Cl 0.0000 0.0000 0.7710
K 0.5000 0.0000 0.2500
K 0.0000 0.5000 0.2500
K 0.5000 0.0000 0.7500
K 0.0000 0.5000 0.7500
Pt 0.0000 0.0000 0.0000
Pt 0.5000 0.5000 0.5000
CELL_PARAMETERS angstrom
6.8546 0.0000 0.0000
0.0000 6.8546 0.0000
0.0000 0.0000 10.2709
! Electronic total energy (eV/atom): -3.349
! Space group: P4/mnc (128)
! Volume (Å³/atom): 26.81
! Total magnetization (μB per atom): 0.0001


[2]
! PBE-GGA KRb2TcCl6, relaxed; values from VASP
&SYSTEM
  ibrav = 0, nat = 10, ntyp = 4
/
ATOMIC_SPECIES
Cl 35.45 Cl.upf
K 39.10 K.upf
Rb 85.47 Rb.upf
Tc 98.00 Tc.upf
ATOMIC_POSITIONS crystal
Cl 0.7257 0.2743 0.2743
Cl 0.2743 0.7257 0.2743
Cl 0.7257 0.7257 0.2743
Cl 0.2743 0.2743 0.7257
Cl 0.7257 0.2743 0.7257
Cl 0.2743 0.7257 0.7257
K 0.0000 0.0000 0.0000
Rb 0.2500 0.2500 0.2500
Rb 0.7500 0.7500 0.7500
Tc 0.5000 0.5000 0.5000
CELL_PARAMETERS angstrom
0.0765 1.4417 7.3860
-5.2004 4.5363 3.0025
-5.3630 -2.8480 4.4456
! Electronic total energy (eV/atom): -3.856
! Space group: Fm-3m (225)
! Volume (Å³/atom): 30.14
! Total magnetization (μB per atom): 0.2001


[3]
! PBE-GGA KRb2ZnCl6, relaxed; values from VASP
&SYSTEM
  ibrav = 0, nat = 10, ntyp = 4
/
ATOMIC_SPECIES
Cl 35.45 Cl.upf
K 39.10 K.upf
Rb 85.47 Rb.upf
Zn 65.41 Zn.upf
ATOMIC_POSITIONS crystal
Cl 0.2276 0.7724 0.2276
Cl 0.7724 0.7724 0.2276
Cl 0.7724 0.2276 0.2276
Cl 0.2276 0.2276 0.7724
Cl 0.7724 0.2276 0.7724
Cl 0.2276 0.7724 0.7724
K 0.5000 0.5000 0.5000
Rb 0.2500 0.2500 0.2500
Rb 0.7500 0.7500 0.7500
Zn 0.0000 0.0000 0.0000
CELL_PARAMETERS angstrom
1.6061 -5.9932 -4.3051
1.1759 -6.7398 3.1976
-5.0875 -5.5175 -0.8408
! Electronic total energy (eV/atom): -2.931
! Space group: Fm-3m (225)
! Volume (Å³/atom): 30.46


[4]
! PBE-GGA KSm2Cl5, relaxed; values from VASP
&SYSTEM
  ibrav = 0, nat = 32, ntyp = 3
/
ATOMIC_SPECIES
Cl 35.45 Cl.upf
K 39.10 K.upf
Sm 150.36 Sm.upf
ATOMIC_POSITIONS crystal
Cl 0.2076 0.0496 0.0013
Cl 0.4750 0.6747 0.0754
Cl 0.0250 0.6928 0.1326
Cl 0.7501 0.3542 0.1880
Cl 0.2383 0.3417 0.2085
Cl 0.7617 0.8417 0.2915
Cl 0.2499 0.8542 0.3120
Cl 0.9750 0.1928 0.3674
Cl 0.5250 0.1747 0.4246
Cl 0.7924 0.5496 0.4987
Cl 0.2076 0.4504 0.5013
Cl 0.4750 0.8253 0.5754
Cl 0.0250 0.8072 0.6326
Cl 0.7501 0.1458 0.6880
Cl 0.2383 0.1583 0.7085
Cl 0.7617 0.6583 0.7915
Cl 0.2499 0.6458 0.8120
Cl 0.9750 0.3072 0.8674
Cl 0.5250 0.3253 0.9246
Cl 0.7924 0.9504 0.9987
K 0.4969 0.0570 0.1652
K 0.5031 0.5570 0.3348
K 0.4969 0.4430 0.6652
K 0.5031 0.9430 0.8348
Sm 0.2063 0.4687 0.0004
Sm 0.9909 0.1009 0.1599
Sm 0.0091 0.6009 0.3401
Sm 0.7937 0.9687 0.4996
Sm 0.2063 0.0313 0.5004
Sm 0.9909 0.3991 0.6599
Sm 0.0091 0.8991 0.8401
Sm 0.7937 0.5313 0.9996
CELL_PARAMETERS angstrom
-1.2929 0.8717 8.4577
-3.4422 -6.1979 0.1126
11.4113 -6.2953 2.3242
! Electronic total energy (eV/atom): -4.409
! Space group: P2_1/c (14)
! Volume (Å³/atom): 25.23
! Offset from the most stable computed form (kJ per mole of atoms): 0.0
! Total magnetization (μB per atom): 0.0001


[5]
! PBE-GGA KSm2Cl5, relaxed; values from VASP
&SYSTEM
  ibrav = 0, nat = 16, ntyp = 3
/
ATOMIC_SPECIES
Cl 35.45 Cl.upf
K 39.10 K.upf
Sm 150.36 Sm.upf
ATOMIC_POSITIONS crystal
Cl 0.0000 0.0000 0.0000
Cl 0.5000 0.5000 0.0000
Cl 0.2176 0.7176 0.1999
Cl 0.4823 0.9823 0.1999
Cl 0.0177 0.2176 0.5000
Cl 0.2824 0.4823 0.5000
Cl 0.7176 0.5177 0.5000
Cl 0.9823 0.7824 0.5000
Cl 0.5177 0.0177 0.8001
Cl 0.7824 0.2824 0.8001
K 0.2500 0.2500 0.0000
K 0.7500 0.7500 0.0000
Sm 0.8510 0.3510 0.2020
Sm 0.3510 0.1490 0.5000
Sm 0.6490 0.8510 0.5000
Sm 0.1490 0.6490 0.7980
CELL_PARAMETERS angstrom
-0.3398 2.5669 8.5385
-8.5430 2.0280 1.5858
3.5107 -7.3854 -3.5697
! Electronic total energy (eV/atom): -4.385
! Space group: I4/mcm (140)
! Volume (Å³/atom): 25.78
! Offset from the most stable computed form (kJ per mole of atoms): 2.4
! Total magnetization (μB per atom): 0.0007


[6]
! PBE-GGA KTcCl3, relaxed; values from VASP
&SYSTEM
  ibrav = 0, nat = 20, ntyp = 3
/
ATOMIC_SPECIES
Cl 35.45 Cl.upf
K 39.10 K.upf
Tc 98.00 Tc.upf
ATOMIC_POSITIONS crystal
Cl 0.0239 0.2325 0.0548
Cl 0.3404 0.1263 0.1690
Cl 0.8739 0.8479 0.2907
Cl 0.2051 0.6092 0.3168
Cl 0.7634 0.1763 0.3967
Cl 0.5133 0.4820 0.4450
Cl 0.2325 0.0239 0.5548
Cl 0.1263 0.3404 0.6690
Cl 0.8479 0.8739 0.7907
Cl 0.6092 0.2051 0.8168
Cl 0.1763 0.7634 0.8967
Cl 0.4820 0.5133 0.9450
K 0.5586 0.8898 0.1014
K 0.8228 0.4879 0.1106
K 0.8898 0.5586 0.6014
K 0.4879 0.8228 0.6106
Tc 0.2272 0.3248 0.2870
Tc 0.0404 0.1427 0.4343
Tc 0.3248 0.2272 0.7870
Tc 0.1427 0.0404 0.9343
CELL_PARAMETERS angstrom
4.1872 -7.0170 -0.0291
4.1872 7.0170 -0.0291
-0.6691 0.0000 8.7914
! Electronic total energy (eV/atom): -4.539
! Space group: Cc (9)
! Volume (Å³/atom): 25.82
! Total magnetization (μB per atom): 0.0002


[7]
! PBE-GGA KZrTl2Cl6, relaxed; values from VASP
&SYSTEM
  ibrav = 0, nat = 20, ntyp = 4
/
ATOMIC_SPECIES
Cl 35.45 Cl.upf
K 39.10 K.upf
Tl 204.38 Tl.upf
Zr 91.22 Zr.upf
ATOMIC_POSITIONS crystal
Cl 0.3593 0.8039 0.0054
Cl 0.9074 0.6511 0.0231
Cl 0.0680 0.0039 0.2307
Cl 0.5281 0.3989 0.2692
Cl 0.6915 0.7497 0.4785
Cl 0.2401 0.5955 0.4973
Cl 0.8558 0.3063 0.5025
Cl 0.4030 0.1510 0.5219
Cl 0.5616 0.5018 0.7307
Cl 0.0404 0.8953 0.7694
Cl 0.1980 0.2479 0.9767
Cl 0.7444 0.0944 0.9950
K 0.5532 0.4497 0.0000
K 0.0468 0.9504 0.5000
Tl 0.5452 0.9824 0.2493
Tl 0.0616 0.4194 0.2501
Tl 0.0489 0.4799 0.7491
Tl 0.5469 0.9185 0.7512
Zr 0.0519 0.9498 0.0000
Zr 0.5479 0.4501 0.5000
CELL_PARAMETERS angstrom
-1.9788 -1.8370 -6.9389
7.3720 -0.4164 -1.9853
-0.3190 -10.6754 2.9297
! Electronic total energy (eV/atom): -4.009
! Space group: P1 (1)
! Volume (Å³/atom): 31.49
! Total magnetization (μB per atom): 0.1006


[8]
! PBE-GGA K2UCl6, relaxed; values from VASP
&SYSTEM
  ibrav = 0, nat = 18, ntyp = 3
/
ATOMIC_SPECIES
Cl 35.45 Cl.upf
K 39.10 K.upf
U 238.03 U.upf
ATOMIC_POSITIONS crystal
Cl 0.2701 0.2701 0.0000
Cl 0.7299 0.7299 0.0000
Cl 0.8158 0.1842 0.1422
Cl 0.1842 0.8158 0.1422
Cl 0.3158 0.3158 0.3578
Cl 0.6842 0.6842 0.3578
Cl 0.7701 0.2299 0.5000
Cl 0.2299 0.7701 0.5000
Cl 0.3158 0.3158 0.6422
Cl 0.6842 0.6842 0.6422
Cl 0.8158 0.1842 0.8578
Cl 0.1842 0.8158 0.8578
K 0.5000 0.5000 0.1652
K 0.0000 0.0000 0.3348
K 0.0000 0.0000 0.6652
K 0.5000 0.5000 0.8348
U 0.0000 0.0000 0.0000
U 0.5000 0.5000 0.5000
CELL_PARAMETERS angstrom
-0.2996 -6.5408 2.1887
5.7966 0.9486 3.6280
-7.2907 3.8914 10.6313
! Electronic total energy (eV/atom): -4.609
! Space group: P4_2/mnm (136)
! Volume (Å³/atom): 35.66
! Total magnetization (μB per atom): 0.2298


[9]
! PBE-GGA KUCl6, relaxed; values from VASP
&SYSTEM
  ibrav = 0, nat = 8, ntyp = 3
/
ATOMIC_SPECIES
Cl 35.45 Cl.upf
K 39.10 K.upf
U 238.03 U.upf
ATOMIC_POSITIONS crystal
Cl 0.5897 0.0916 0.0916
Cl 0.0916 0.5897 0.0916
Cl 0.9084 0.9084 0.4103
Cl 0.0916 0.0916 0.5897
Cl 0.9084 0.4103 0.9084
Cl 0.4103 0.9084 0.9084
K 0.5000 0.5000 0.5000
U 0.0000 0.0000 0.0000
CELL_PARAMETERS angstrom
-3.2853 -5.7370 -3.9173
-2.3287 -6.6679 3.0277
-7.3204 -2.2268 0.7099
! Electronic total energy (eV/atom): -4.659
! Space group: R-3m (166)
! Volume (Å³/atom): 35.25
! Total magnetization (μB per atom): 0.1243


[10]
! PBE-GGA KWCl6, relaxed; values from VASP
&SYSTEM
  ibrav = 0, nat = 16, ntyp = 3
/
ATOMIC_SPECIES
Cl 35.45 Cl.upf
K 39.10 K.upf
W 183.84 W.upf
ATOMIC_POSITIONS crystal
Cl 0.0946 0.2045 0.0388
Cl 0.5349 0.3125 0.1069
Cl 0.6291 0.7975 0.1643
Cl 0.2025 0.3709 0.3357
Cl 0.6875 0.4651 0.3931
Cl 0.7955 0.9054 0.4612
Cl 0.2045 0.0946 0.5388
Cl 0.3125 0.5349 0.6069
Cl 0.7975 0.6291 0.6643
Cl 0.3709 0.2025 0.8357
Cl 0.4651 0.6875 0.8931
Cl 0.9054 0.7955 0.9612
K 0.1136 0.8864 0.2500
K 0.8864 0.1136 0.7500
W 0.5000 0.0000 0.0000
W 0.0000 0.5000 0.5000
CELL_PARAMETERS angstrom
5.8780 -3.1276 0.0000
5.8780 3.1276 0.0000
-2.5077 0.0000 11.7174
! Electronic total energy (eV/atom): -4.274
! Space group: C2/c (15)
! Volume (Å³/atom): 26.93
! Total magnetization (μB per atom): 0.1256


[11]
! PBE-GGA K2ZnCl4, relaxed; values from VASP
&SYSTEM
  ibrav = 0, nat = 28, ntyp = 3
/
ATOMIC_SPECIES
Cl 35.45 Cl.upf
K 39.10 K.upf
Zn 65.41 Zn.upf
ATOMIC_POSITIONS crystal
Cl 0.4612 0.2217 0.0708
Cl 0.1743 0.7718 0.0829
Cl 0.8181 0.9889 0.1507
Cl 0.7972 0.4927 0.1803
Cl 0.2972 0.4927 0.3197
Cl 0.3181 0.9889 0.3493
Cl 0.6743 0.7718 0.4171
Cl 0.9612 0.2217 0.4292
Cl 0.0388 0.7217 0.5708
Cl 0.3257 0.2718 0.5829
Cl 0.6819 0.4889 0.6507
Cl 0.7028 0.9927 0.6803
Cl 0.2028 0.9927 0.8197
Cl 0.1819 0.4889 0.8493
Cl 0.8257 0.2718 0.9171
Cl 0.5388 0.7217 0.9292
K 0.1177 0.2912 0.0820
K 0.5086 0.7704 0.1789
K 0.0086 0.7704 0.3211
K 0.6177 0.2912 0.4180
K 0.3823 0.7912 0.5820
K 0.9914 0.2704 0.6789
K 0.4914 0.2704 0.8211
K 0.8823 0.7912 0.9180
Zn 0.7125 0.2521 0.0789
Zn 0.2125 0.2521 0.4211
Zn 0.7875 0.7521 0.5789
Zn 0.2875 0.7521 0.9211
CELL_PARAMETERS angstrom
8.9191 0.0000 0.0000
0.0000 7.1311 0.0000
0.0000 0.0000 12.6953
! Electronic total energy (eV/atom): -3.188
! Space group: Pna2_1 (33)
! Volume (Å³/atom): 28.84


[12]
! PBE-GGA K2ZnCl4, relaxed; values from VASP
&SYSTEM
  ibrav = 0, nat = 14, ntyp = 3
/
ATOMIC_SPECIES
Cl 35.45 Cl.upf
K 39.10 K.upf
Zn 65.41 Zn.upf
ATOMIC_POSITIONS crystal
Cl 0.9007 0.7716 0.0662
Cl 0.4843 0.0007 0.2590
Cl 0.5029 0.5016 0.2652
Cl 0.0759 0.2689 0.3640
Cl 0.9241 0.7689 0.6360
Cl 0.4971 0.0016 0.7348
Cl 0.5157 0.5007 0.7410
Cl 0.0993 0.2716 0.9338
K 0.7121 0.2428 0.0484
K 0.2239 0.7418 0.4289
K 0.7761 0.2418 0.5711
K 0.2879 0.7428 0.9516
Zn 0.2753 0.2574 0.2030
Zn 0.7247 0.7574 0.7970
CELL_PARAMETERS angstrom
-4.6742 -0.2506 5.2362
0.5810 -7.0479 0.1813
7.9717 0.7458 3.4466
! Electronic total energy (eV/atom): -3.199
! Space group: P2_1 (4)
! Volume (Å³/atom): 29.34